Version A
KTa3Tc | GGA-PBE | relaxed

Cell and atoms, written as POSCAR:
```
KTa3Tc
1.0
4.948 0.000 0.000
0.000 4.948 0.000
0.000 0.000 4.948
K Tc Ta
1 1 3
Direct
0.500 0.500 0.500
0.000 0.000 0.000
0.000 0.500 0.000
0.000 0.000 0.500
0.500 0.000 0.000
```

Space group: No. 221

***

Version B
KTa3Tc | GGA-PBE | relaxed

Cell and atoms, written as POSCAR:
```
KTa3Tc
1.0
4.544 0.000 0.000
0.000 4.544 0.000
0.000 0.000 4.544
K Tc Ta
1 1 3
Direct
0.000 0.000 0.000
0.500 0.500 0.500
0.000 0.500 0.000
0.000 0.000 0.500
0.500 0.000 0.000
```

Space group: No. 221

***

Relative energies in meV/atom: version A 0; version B 1726